1.
Computed, not measured: Sr2CaMg at its PBEsol-relaxed geometry at the SCAN level of DFT.

Properties
Theoretical density ... 2.47 g/cm3
Energy relative to the elements ... 0.03 eV/atom
Electronic total energy ... -59.1 eV for the cell shown
Total moment ... 0.86 μB/f.u.

a = 5.996 Å, b = 5.996 Å, c = 4.476 Å
α = 90.00°, β = 90.00°, γ = 90.00°
Space group P4/mmm (No. 123)
Symmetry-distinct sites (fractional):
Sr  0.000  0.500  0.000
Ca  0.000  0.000  0.500
Mg  0.500  0.500  0.500

---

2.
Computed, not measured: AlHg2Sb at its PBEsol-relaxed geometry at the SCAN level of DFT.

Properties
Theoretical density ... 9.44 g/cm3
Electronic total energy ... -181.1 eV for the cell shown
Total moment ... 0.00 μB/f.u.
Raw formation energy ... 0.073 eV/atom

a = 4.108 Å, b = 4.108 Å, c = 5.731 Å
α = 90.00°, β = 90.00°, γ = 90.00°
Space group P4/mmm (No. 123)
Symmetry-distinct sites (fractional):
Al  0.000  0.000  0.000
Hg  0.000  0.000  0.500
Hg  0.500  0.500  0.500
Sb  0.500  0.500  0.000